The following is a PBE-GGA calculation of crystalline AcEuGd2 at its relaxed geometry, from Alexandria via LeMat-Bulk.

a b c (Å): 5.3185 5.2781 5.2781
angles (deg): 90.00 90.00 90.00
Closest atoms and distances in Å follow each position.
Fractional coordinates of all 4 atoms:
Eu: 0.5000 0.0000 0.0000  4 Ac 3.73, 8 Gd 3.75
Ac: 0.5000 0.5000 0.5000  4 Eu 3.73, 8 Gd 3.75
Gd: 0.0000 0.0000 0.5000  4 Gd 3.73, 4 Ac 3.75, 4 Eu 3.75
Gd: 0.0000 0.5000 0.0000  4 Gd 3.73, 4 Ac 3.75, 4 Eu 3.75

Calculated values
- spin magnetization (μB/cell) = 22.559
- SG = P4/mmm, No. 123
- E above lowest polymorph (kcal/mol of atoms) = 0.00
- energy of formation (meV/atom) = 80

---

The following is a PBE-GGA calculation of crystalline Ac2EuGd at its relaxed geometry, from Alexandria via LeMat-Bulk.

a b c (Å): 4.1643 6.2583 6.2583
angles (deg): 90.00 90.00 90.00
Closest atoms and distances in Å follow each position.
Fractional coordinates of all 4 atoms:
Eu: 0.5000 0.5000 0.5000  8 Ac 3.76, 2 Eu 4.16
Ac: 0.0000 0.0000 0.5000  4 Gd 3.76, 4 Eu 3.76, 2 Ac 4.16
Ac: 0.0000 0.5000 0.0000  4 Gd 3.76, 4 Eu 3.76, 2 Ac 4.16
Gd: 0.5000 0.0000 0.0000  8 Ac 3.76, 2 Gd 4.16

Calculated values
- spin magnetization (μB/cell) = 15.458
- SG = P4/mmm, No. 123
- E above lowest polymorph (kcal/mol of atoms) = 0.00
- energy of formation (meV/atom) = 81

---

The following is a PBE-GGA calculation of crystalline AcEu2Gd at its relaxed geometry, from Alexandria via LeMat-Bulk.

a b c (Å): 4.2519 6.1030 6.1030
angles (deg): 90.00 90.00 90.00
Closest atoms and distances in Å follow each position.
Fractional coordinates of all 4 atoms:
Eu: 0.0000 0.0000 0.5000  4 Gd 3.72, 4 Ac 3.72
Eu: 0.0000 0.5000 0.0000  4 Gd 3.72, 4 Ac 3.72
Ac: 0.5000 0.0000 0.0000  8 Eu 3.72
Gd: 0.5000 0.5000 0.5000  8 Eu 3.72

Calculated values
- spin magnetization (μB/cell) = 7.654
- SG = P4/mmm, No. 123
- E above lowest polymorph (kcal/mol of atoms) = 0.15
- energy of formation (meV/atom) = 117

---

The following is a PBE-GGA calculation of crystalline Ac2EuGd at its relaxed geometry, from Alexandria via LeMat-Bulk.

a b c (Å): 6.1336 6.1336 6.1336
angles (deg): 60.00 60.00 60.00
Closest atoms and distances in Å follow each position.
Fractional coordinates of all 4 atoms:
Eu: 0.0000 0.0000 0.0000  8 Ac 3.76
Ac: 0.2500 0.2500 0.2500  4 Gd 3.76, 4 Eu 3.76
Ac: 0.7500 0.7500 0.7500  4 Gd 3.76, 4 Eu 3.76
Gd: 0.5000 0.5000 0.5000  8 Ac 3.76

Calculated values
- spin magnetization (μB/cell) = 0.190
- SG = Fm-3m, No. 225
- E above lowest polymorph (kcal/mol of atoms) = 0.35
- energy of formation (meV/atom) = 96

---

The following is a PBE-GGA calculation of crystalline AcEuGd2 at its relaxed geometry, from Alexandria via LeMat-Bulk.

a b c (Å): 3.6497 3.6497 13.2428
angles (deg): 82.08 82.08 60.00
Closest atoms and distances in Å follow each position.
Fractional coordinates of all 4 atoms:
Eu: 0.5000 0.5000 0.5000  6 Eu 3.65, 6 Gd 3.70
Ac: 0.0000 0.0000 0.0000  2 Gd 3.50, 6 Ac 3.65
Gd: 0.0891 0.0891 0.7326  1 Ac 3.50, 6 Gd 3.65, 3 Eu 3.70
Gd: 0.9109 0.9109 0.2674  1 Ac 3.50, 6 Gd 3.65, 3 Eu 3.70

Calculated values
- spin magnetization (μB/cell) = 8.262
- SG = R-3m, No. 166
- E above lowest polymorph (kcal/mol of atoms) = 3.57
- energy of formation (meV/atom) = 235

---

The following is a PBE-GGA calculation of crystalline AcEu2Gd at its relaxed geometry, from Alexandria via LeMat-Bulk.

a b c (Å): 6.0730 6.0730 6.0730
angles (deg): 60.00 60.00 60.00
Closest atoms and distances in Å follow each position.
Fractional coordinates of all 4 atoms:
Eu: 0.2500 0.2500 0.2500  4 Gd 3.72, 4 Ac 3.72
Eu: 0.7500 0.7500 0.7500  4 Gd 3.72, 4 Ac 3.72
Ac: 0.5000 0.5000 0.5000  8 Eu 3.72
Gd: 0.0000 0.0000 0.0000  8 Eu 3.72

Calculated values
- spin magnetization (μB/cell) = 7.423
- SG = Fm-3m, No. 225
- E above lowest polymorph (kcal/mol of atoms) = 0.00
- energy of formation (meV/atom) = 110

---

The following is a PBE-GGA calculation of crystalline Ac2EuGd at its relaxed geometry, from Alexandria via LeMat-Bulk.

a b c (Å): 3.7864 3.7864 13.6257
angles (deg): 82.01 82.01 60.00
Closest atoms and distances in Å follow each position.
Fractional coordinates of all 4 atoms:
Eu: 0.5000 0.5000 0.5000  6 Eu 3.79, 6 Ac 3.93
Ac: 0.0858 0.0858 0.7427  1 Gd 3.46, 6 Ac 3.79
Ac: 0.9142 0.9142 0.2573  1 Gd 3.46, 6 Ac 3.79
Gd: 0.0000 0.0000 0.0000  2 Ac 3.46, 6 Gd 3.79

Calculated values
- spin magnetization (μB/cell) = 0.495
- SG = R-3m, No. 166
- E above lowest polymorph (kcal/mol of atoms) = 3.34
- energy of formation (meV/atom) = 225

---

The following is a PBE-GGA calculation of crystalline AcEuGd2 at its relaxed geometry, from Alexandria via LeMat-Bulk.

a b c (Å): 5.9765 5.9765 5.9765
angles (deg): 60.00 60.00 60.00
Closest atoms and distances in Å follow each position.
Fractional coordinates of all 4 atoms:
Eu: 0.5000 0.5000 0.5000  8 Gd 3.66
Ac: 0.0000 0.0000 0.0000  8 Gd 3.66
Gd: 0.2500 0.2500 0.2500  4 Ac 3.66, 4 Eu 3.66
Gd: 0.7500 0.7500 0.7500  4 Ac 3.66, 4 Eu 3.66

Calculated values
- spin magnetization (μB/cell) = 8.234
- SG = Fm-3m, No. 225
- E above lowest polymorph (kcal/mol of atoms) = 1.10
- energy of formation (meV/atom) = 127

---

The following is a PBE-GGA calculation of crystalline AcEuGdIn at its relaxed geometry, from Alexandria via LeMat-Bulk.

a b c (Å): 5.7206 5.7206 5.7206
angles (deg): 60.00 60.00 60.00
Closest atoms and distances in Å follow each position.
Fractional coordinates of all 4 atoms:
Eu: 0.2500 0.2500 0.2500  4 Ac 3.50, 4 In 3.50
Ac: 0.5000 0.5000 0.5000  4 Gd 3.50, 4 Eu 3.50
Gd: 0.7500 0.7500 0.7500  4 In 3.50, 4 Ac 3.50
In: 0.0000 0.0000 0.0000  4 Gd 3.50, 4 Eu 3.50

Calculated values
- spin magnetization (μB/cell) = 15.980
- SG = F-43m, No. 216
- energy of formation (meV/atom) = -73

---

The following is a PBE-GGA calculation of crystalline LiAcEuGd at its relaxed geometry, from Alexandria via LeMat-Bulk.

a b c (Å): 5.8682 5.8682 5.8682
angles (deg): 60.00 60.00 60.00
Closest atoms and distances in Å follow each position.
Fractional coordinates of all 4 atoms:
Eu: 0.7500 0.7500 0.7500  4 Gd 3.59, 4 Li 3.59
Ac: 0.2500 0.2500 0.2500  4 Gd 3.59, 4 Li 3.59
Gd: 0.5000 0.5000 0.5000  4 Ac 3.59, 4 Eu 3.59
Li: 0.0000 0.0000 0.0000  4 Ac 3.59, 4 Eu 3.59

Calculated values
- spin magnetization (μB/cell) = 0.362
- SG = F-43m, No. 216
- energy of formation (meV/atom) = 182

---

The following is a PBE-GGA calculation of crystalline AcPmEuGd at its relaxed geometry, from Alexandria via LeMat-Bulk.

a b c (Å): 5.9916 5.9916 5.9916
angles (deg): 60.00 60.00 60.00
Closest atoms and distances in Å follow each position.
Fractional coordinates of all 4 atoms:
Eu: 0.2500 0.2500 0.2500  4 Ac 3.67, 4 Pm 3.67
Ac: 0.5000 0.5000 0.5000  4 Eu 3.67, 4 Gd 3.67
Gd: 0.7500 0.7500 0.7500  4 Ac 3.67, 4 Pm 3.67
Pm: 0.0000 0.0000 0.0000  4 Gd 3.67, 4 Eu 3.67

Calculated values
- spin magnetization (μB/cell) = 15.597
- SG = F-43m, No. 216
- energy of formation (meV/atom) = 112

---

The following is a PBE-GGA calculation of crystalline AcPrEuGd at its relaxed geometry, from Alexandria via LeMat-Bulk.

a b c (Å): 6.0194 6.0194 6.0194
angles (deg): 60.00 60.00 60.00
Closest atoms and distances in Å follow each position.
Fractional coordinates of all 4 atoms:
Eu: 0.0000 0.0000 0.0000  4 Ac 3.69, 4 Pr 3.69
Pr: 0.2500 0.2500 0.2500  4 Gd 3.69, 4 Eu 3.69
Ac: 0.7500 0.7500 0.7500  4 Gd 3.69, 4 Eu 3.69
Gd: 0.5000 0.5000 0.5000  4 Pr 3.69, 4 Ac 3.69

Calculated values
- spin magnetization (μB/cell) = 0.462
- SG = F-43m, No. 216
- energy of formation (meV/atom) = 121